[1]
# PBE-GGA LuNpRe, optimized geometry
data_LuNpRe
_chemical_formula_sum 'Lu4 Np4 Re4'
_cell_length_a 6.6270
_cell_length_b 6.6270
_cell_length_c 6.6270
_cell_angle_alpha 90.00
_cell_angle_beta 90.00
_cell_angle_gamma 90.00
_space_group_name_H-M_alt 'F -4 3 m'
_space_group_IT_number 216
_space_group_name_Hall 'F -4 2 3'
loop_
_atom_site_label
_atom_site_fract_x
_atom_site_fract_y
_atom_site_fract_z
_atom_site_occupancy
Lu1 0.0000 0.0000 0.0000 1
Np1 0.0000 0.0000 0.5000 1
Re1 0.2500 0.2500 0.7500 1
# - crystal system = cubic
# - ΔE_f (eV per atom) = 0.44


[2]
# PBE-GGA LuNpSc, optimized geometry
data_LuNpSc
_chemical_formula_sum 'Lu4 Np4 Sc4'
_cell_length_a 7.2918
_cell_length_b 7.2918
_cell_length_c 7.2918
_cell_angle_alpha 90.00
_cell_angle_beta 90.00
_cell_angle_gamma 90.00
_space_group_name_H-M_alt 'F -4 3 m'
_space_group_IT_number 216
_space_group_name_Hall 'F -4 2 3'
loop_
_atom_site_label
_atom_site_fract_x
_atom_site_fract_y
_atom_site_fract_z
_atom_site_occupancy
Lu1 0.0000 0.0000 0.0000 1
Np1 0.0000 0.0000 0.5000 1
Sc1 0.2500 0.2500 0.2500 1
# - crystal system = cubic
# - ΔE_f (eV per atom) = 1.06


[3]
# PBE-GGA SmLuNp, optimized geometry
data_SmLuNp
_chemical_formula_sum 'Sm4 Lu4 Np4'
_cell_length_a 7.3264
_cell_length_b 7.3264
_cell_length_c 7.3264
_cell_angle_alpha 90.00
_cell_angle_beta 90.00
_cell_angle_gamma 90.00
_space_group_name_H-M_alt 'F -4 3 m'
_space_group_IT_number 216
_space_group_name_Hall 'F -4 2 3'
loop_
_atom_site_label
_atom_site_fract_x
_atom_site_fract_y
_atom_site_fract_z
_atom_site_occupancy
Sm1 0.0000 0.0000 0.0000 1
Lu1 0.2500 0.2500 0.7500 1
Np1 0.0000 0.0000 0.5000 1
# - crystal system = cubic
# - ΔE_f (eV per atom) = 1.16


[4]
# PBE-GGA SrLuNp, optimized geometry
data_SrLuNp
_chemical_formula_sum 'Sr4 Lu4 Np4'
_cell_length_a 7.9303
_cell_length_b 7.9303
_cell_length_c 7.9303
_cell_angle_alpha 90.00
_cell_angle_beta 90.00
_cell_angle_gamma 90.00
_space_group_name_H-M_alt 'F -4 3 m'
_space_group_IT_number 216
_space_group_name_Hall 'F -4 2 3'
loop_
_atom_site_label
_atom_site_fract_x
_atom_site_fract_y
_atom_site_fract_z
_atom_site_occupancy
Sr1 0.0000 0.0000 0.0000 1
Lu1 0.2500 0.2500 0.7500 1
Np1 0.0000 0.0000 0.5000 1
# - crystal system = cubic


| no. | excess energy over the best structure of this formula in the dataset (meV per atom) |
| --- | --- |
| 1 | 0 |
| 2 | 0 |
| 3 | 0 |
| 4 | 0 |